Record 1
Material: IrPbC
Method: DFT, GGA-PBE
State: optimized geometry

## Properties
- offset from the most stable computed form (meV per atom) = 1191
- SG = P-6m2, No. 187
- M_tot (μB per formula unit) = 0.019

abc: 4.5611 4.5611 2.9404
angles: 90.00 90.00 120.00
Atoms (fractional coordinates):
1 C 0.3333 0.6667 0.0000
2 Pb 0.6667 0.3333 0.0000
3 Ir 0.0000 0.0000 0.0000

***

Record 2
Material: Sc2Ga3GeIr2
Method: DFT, GGA-PBE
State: optimized geometry

## Properties
- energy (eV/atom) = -6.24
- SG = Cm, No. 8
- M_tot (μB per formula unit) = 0.003

abc: 5.3331 5.3331 6.5782
angles: 90.39 90.39 46.61
Atoms (fractional coordinates):
1 Ge 0.6328 0.6328 0.0478
2 Sc 0.0829 0.0829 0.7526
3 Ga 0.3718 0.3718 0.9503
4 Sc 0.9148 0.9148 0.2518
5 Ir 0.7978 0.7978 0.7541
6 Ga 0.6315 0.6315 0.4533
7 Ir 0.2013 0.2013 0.2433
8 Ga 0.3672 0.3672 0.5469

***

Record 3
Material: ErHIBr
Method: DFT, GGA-PBE
State: optimized geometry

## Properties
- energy (eV/atom) = -4.11
- SG = P6_3mc, No. 186
- M_tot (μB per formula unit) = 0.000

abc: 3.8833 3.8833 15.4096
angles: 90.00 90.00 120.00
Atoms (fractional coordinates):
1 Br 0.3333 0.6667 0.6237
2 H 0.6667 0.3333 0.7479
3 Br 0.6667 0.3333 0.1237
4 Er 0.0000 0.0000 0.2451
5 H 0.3333 0.6667 0.2479
6 I 0.6667 0.3333 0.3833
7 Er 0.0000 0.0000 0.7451
8 I 0.3333 0.6667 0.8833

***

Q: The lowest M_tot belongs to which entry?
A: ErHIBr